Entry from Alexandria: crystalline SmDy12Y6 at its relaxed geometry (PBE-GGA).

Unit cell a=13.3769 b=13.3769 c=12.7762 alpha=90.00 beta=90.00 gamma=120.00
Space group R-3m (No. 166, hexagonal axes)
Unique sites:
1 Sm 0.0000 0.0000 0.0000 [3 per cell]
2 Dy 0.0000 0.3822 0.5000 [18 per cell]
3 Dy 0.0953 0.1907 0.3749 [18 per cell]
4 Y 0.0262 0.5131 0.7170 [18 per cell]

Computed properties:
* excess energy over the best structure of this formula in the dataset: 7 meV/atom
* DOS at the Fermi energy: 69.52 states/eV/cell
* E_form: 0.4569 eV per atom
* E: -4.739 eV/atom

Entry from Alexandria: crystalline Sm5Dy2Y6 at its relaxed geometry (PBE-GGA).

Unit cell a=11.7126 b=20.5306 c=3.5950 alpha=90.00 beta=90.00 gamma=90.00
Space group Pbam (No. 55)
Unique sites:
1 Sm 0.0000 0.0000 0.0000 [2 per cell]
2 Sm 0.0858 0.2722 0.0000 [4 per cell]
3 Sm 0.1997 0.5495 0.0000 [4 per cell]
4 Dy 0.1692 0.7097 0.5000 [4 per cell]
5 Y 0.0588 0.4186 0.5000 [4 per cell]
6 Y 0.0823 0.1309 0.5000 [4 per cell]
7 Y 0.1750 0.8627 0.0000 [4 per cell]

Computed properties:
* DOS at the Fermi energy: 32.98 states/eV/cell
* E_form: 0.0954 eV per atom
* E: -5.411 eV/atom

Entry from Alexandria: crystalline Sm2DyY12 at its relaxed geometry (PBE-GGA).

Unit cell a=7.0840 b=11.3879 c=24.8242 alpha=90.00 beta=90.00 gamma=90.00
Space group Cmme (No. 67)
Unique sites:
1 Sm 0.0000 0.2500 0.2306 [4 per cell]
2 Sm 0.0000 0.2500 0.7651 [4 per cell]
3 Dy 0.0000 0.2500 0.4999 [4 per cell]
4 Y 0.0000 0.9996 0.4234 [8 per cell]
5 Y 0.0000 0.0143 0.0608 [8 per cell]
6 Y 0.2390 0.2500 0.9146 [8 per cell]
7 Y 0.2500 0.0000 0.1730 [8 per cell]
8 Y 0.2500 0.0000 0.3014 [8 per cell]
9 Y 0.2496 0.2500 0.3734 [8 per cell]

Computed properties:
* DOS at the Fermi energy: 106.20 states/eV/cell
* E_form: 0.1705 eV per atom
* E: -5.937 eV/atom

Entry from Alexandria: crystalline Sm7Dy3Y at its relaxed geometry (PBE-GGA).

Unit cell a=7.0759 b=5.6189 c=9.9817 alpha=90.00 beta=110.43 gamma=90.00
Space group P2/m (No. 10)
Unique sites:
1 Sm 0.0000 0.0000 0.0000 [1 per cell]
2 Sm 0.1473 0.5000 0.2915 [2 per cell]
3 Sm 0.3202 0.5000 0.6405 [2 per cell]
4 Sm 0.4178 0.0000 0.8296 [2 per cell]
5 Dy 0.2797 0.5000 0.9987 [2 per cell]
6 Dy 0.5000 0.0000 0.5000 [1 per cell]
7 Y 0.0000 0.0000 0.5000 [1 per cell]

Computed properties:
* excess energy over the best structure of this formula in the dataset: 0 meV/atom
* DOS at the Fermi energy: 15.52 states/eV/cell
* E_form: 0.1229 eV per atom
* E: -4.723 eV/atom

Entry from Alexandria: crystalline Sm7DyY2 at its relaxed geometry (PBE-GGA).

Unit cell a=6.2457 b=6.2486 c=9.5498 alpha=102.62 beta=109.06 gamma=99.61
Space group P-1 (No. 2)
Unique sites:
1 Sm 0.0000 0.0000 0.0000 [1 per cell]
2 Sm 0.1987 0.0995 0.6993 [2 per cell]
3 Sm 0.1993 0.6000 0.2002 [2 per cell]
4 Sm 0.4010 0.2007 0.4001 [2 per cell]
5 Dy 0.0000 0.5000 0.5000 [1 per cell]
6 Y 0.4003 0.6998 0.9001 [2 per cell]

Computed properties:
* excess energy over the best structure of this formula in the dataset: 0 meV/atom
* DOS at the Fermi energy: 14.95 states/eV/cell
* E_form: 0.0160 eV per atom
* E: -5.040 eV/atom

Entry from Alexandria: crystalline SmDy12Y6 at its relaxed geometry (PBE-GGA).

Unit cell a=15.2543 b=15.2543 c=9.7783 alpha=90.00 beta=90.00 gamma=120.00
Space group R-3m (No. 166, hexagonal axes)
Unique sites:
1 Sm 0.0000 0.0000 0.0000 [3 per cell]
2 Dy 0.0000 0.3919 0.5000 [18 per cell]
3 Dy 0.0699 0.1398 0.2973 [18 per cell]
4 Y 0.0474 0.5237 0.1994 [18 per cell]

Computed properties:
* excess energy over the best structure of this formula in the dataset: 0 meV/atom
* DOS at the Fermi energy: 78.65 states/eV/cell
* E_form: 0.4501 eV per atom
* E: -4.746 eV/atom

Entry from Alexandria: crystalline Sm2Dy7Y3 at its relaxed geometry (PBE-GGA).

Unit cell a=5.7906 b=3.5960 c=18.6900 alpha=90.00 beta=93.58 gamma=90.00
Space group P2/m (No. 10)
Unique sites:
1 Sm 0.2069 0.0000 0.2942 [2 per cell]
2 Dy 0.1836 0.5000 0.1431 [2 per cell]
3 Dy 0.2421 0.0000 0.4625 [2 per cell]
4 Dy 0.3151 0.0000 0.8239 [2 per cell]
5 Dy 0.5000 0.5000 0.0000 [1 per cell]
6 Y 0.0000 0.0000 0.0000 [1 per cell]
7 Y 0.2794 0.5000 0.6315 [2 per cell]

Computed properties:
* excess energy over the best structure of this formula in the dataset: 9 meV/atom
* DOS at the Fermi energy: 15.15 states/eV/cell
* E_form: 0.0841 eV per atom
* E: -5.003 eV/atom

Entry from Alexandria: crystalline SmDy8Y3 at its relaxed geometry (PBE-GGA).

Unit cell a=6.4438 b=11.2873 c=11.3467 alpha=90.00 beta=90.00 gamma=90.00
Space group Immm (No. 71)
Unique sites:
1 Sm 0.0000 0.0000 0.0000 [2 per cell]
2 Dy 0.0000 0.1682 0.2503 [8 per cell]
3 Dy 0.2482 0.2528 0.0000 [8 per cell]
4 Y 0.0000 0.0000 0.5000 [2 per cell]
5 Y 0.0000 0.5000 0.2472 [4 per cell]

Computed properties:
* DOS at the Fermi energy: 29.84 states/eV/cell
* E_form: 0.3129 eV per atom
* E: -4.764 eV/atom

Entry from Alexandria: crystalline SmDy2Y6 at its relaxed geometry (PBE-GGA).

Unit cell a=21.6971 b=9.6484 c=5.7446 alpha=90.00 beta=105.30 gamma=90.00
Space group C2/c (No. 15)
Unique sites:
1 Sm 0.0000 0.2495 0.2500 [4 per cell]
2 Dy 0.2500 0.0820 0.0353 [8 per cell]
3 Y 0.0840 0.0821 0.8022 [8 per cell]
4 Y 0.0839 0.4182 0.8659 [8 per cell]
5 Y 0.1668 0.2502 0.4167 [8 per cell]

Computed properties:
* excess energy over the best structure of this formula in the dataset: 0 meV/atom
* DOS at the Fermi energy: 61.56 states/eV/cell
* E_form: 0.0659 eV per atom
* E: -5.790 eV/atom

Entry from Alexandria: crystalline SmDy15Y4 at its relaxed geometry (PBE-GGA).

Unit cell a=5.0288 b=5.0288 c=25.1421 alpha=90.00 beta=90.00 gamma=90.00
Space group P4/mmm (No. 123)
Unique sites:
1 Sm 0.0000 0.0000 0.0000 [1 per cell]
2 Dy 0.0000 0.5000 0.1003 [4 per cell]
3 Dy 0.0000 0.5000 0.3001 [4 per cell]
4 Dy 0.0000 0.5000 0.5000 [2 per cell]
5 Dy 0.5000 0.5000 0.0000 [1 per cell]
6 Dy 0.5000 0.5000 0.2004 [2 per cell]
7 Dy 0.5000 0.5000 0.4000 [2 per cell]
8 Y 0.0000 0.0000 0.2002 [2 per cell]
9 Y 0.0000 0.0000 0.4001 [2 per cell]

Computed properties:
* DOS at the Fermi energy: 26.68 states/eV/cell
* E_form: 0.0198 eV per atom
* E: -4.961 eV/atom

Entry from Alexandria: crystalline Sm2Dy5Y12 at its relaxed geometry (PBE-GGA).

Unit cell a=6.1286 b=8.2455 c=12.7865 alpha=92.80 beta=93.58 gamma=106.67
Space group P1 (No. 1)
Unique sites:
1 Sm 0.0000 0.0000 0.0000 [1 per cell]
2 Sm 0.3923 0.8073 0.0503 [1 per cell]
3 Dy 0.2020 0.2972 0.4251 [1 per cell]
4 Dy 0.2545 0.8385 0.7864 [1 per cell]
5 Dy 0.4552 0.1471 0.2194 [1 per cell]
6 Dy 0.7667 0.5025 0.3772 [1 per cell]
7 Dy 0.9486 0.4633 0.6369 [1 per cell]
8 Y 0.0255 0.3399 0.1664 [1 per cell]
9 Y 0.0754 0.8798 0.5265 [1 per cell]
10 Y 0.1377 0.4222 0.9040 [1 per cell]
11 Y 0.3261 0.7092 0.3150 [1 per cell]
12 Y 0.3824 0.2554 0.6883 [1 per cell]
13 Y 0.5114 0.6711 0.5820 [1 per cell]
14 Y 0.5661 0.1984 0.9473 [1 per cell]
15 Y 0.6324 0.5394 0.1149 [1 per cell]
16 Y 0.6419 0.0899 0.4761 [1 per cell]
17 Y 0.6960 0.6320 0.8485 [1 per cell]
18 Y 0.8202 0.0463 0.7396 [1 per cell]
19 Y 0.8848 0.9226 0.2625 [1 per cell]

Computed properties:
* excess energy over the best structure of this formula in the dataset: 0 meV/atom
* DOS at the Fermi energy: 30.67 states/eV/cell
* E_form: 0.0585 eV per atom
* E: -5.732 eV/atom

Entry from Alexandria: crystalline Sm5Dy5Y at its relaxed geometry (PBE-GGA).

Unit cell a=6.1071 b=6.1071 c=11.6611 alpha=90.00 beta=90.00 gamma=120.00
Space group P-6m2 (No. 187)
Unique sites:
1 Sm 0.0000 0.0000 0.0000 [1 per cell]
2 Sm 0.3333 0.6667 0.3175 [2 per cell]
3 Sm 0.6667 0.3333 0.1553 [2 per cell]
4 Dy 0.0000 0.0000 0.2653 [2 per cell]
5 Dy 0.3348 0.1674 0.5000 [3 per cell]
6 Y 0.3333 0.6667 0.0000 [1 per cell]

Computed properties:
* DOS at the Fermi energy: 20.43 states/eV/cell
* E_form: 0.3012 eV per atom
* E: -4.523 eV/atom

Entry from Alexandria: crystalline Sm7Dy3Y2 at its relaxed geometry (PBE-GGA).

Unit cell a=5.7715 b=38.2036 c=3.6209 alpha=90.00 beta=90.00 gamma=90.00
Space group Cmmm (No. 65)
Unique sites:
1 Sm 0.0000 0.0000 0.0000 [2 per cell]
2 Sm 0.0000 0.0721 0.5000 [4 per cell]
3 Sm 0.0000 0.2319 0.0000 [4 per cell]
4 Sm 0.0000 0.4076 0.0000 [4 per cell]
5 Dy 0.0000 0.3149 0.5000 [4 per cell]
6 Dy 0.0000 0.5000 0.5000 [2 per cell]
7 Y 0.0000 0.1484 0.0000 [4 per cell]

Computed properties:
* excess energy over the best structure of this formula in the dataset: 40 meV/atom
* DOS at the Fermi energy: 38.14 states/eV/cell
* E_form: 0.1128 eV per atom
* E: -4.868 eV/atom

Entry from Alexandria: crystalline Sm8Dy5Y at its relaxed geometry (PBE-GGA).

Unit cell a=9.6442 b=9.6442 c=10.2382 alpha=90.00 beta=90.00 gamma=90.00
Space group I-4 (No. 82)
Unique sites:
1 Sm 0.0699 0.3253 0.4030 [8 per cell]
2 Sm 0.0879 0.1760 0.7464 [8 per cell]
3 Dy 0.0000 0.0000 0.5000 [2 per cell]
4 Dy 0.1088 0.2072 0.0733 [8 per cell]
5 Y 0.0000 0.5000 0.7500 [2 per cell]

Computed properties:
* DOS at the Fermi energy: 41.79 states/eV/cell
* E_form: 0.2513 eV per atom
* E: -4.551 eV/atom

Entry from Alexandria: crystalline SmDy4Y at its relaxed geometry (PBE-GGA).

Unit cell a=8.7967 b=14.8270 c=6.5099 alpha=90.00 beta=112.51 gamma=90.00
Space group C2/c (No. 15)
Unique sites:
1 Sm 0.0000 0.0069 0.2500 [4 per cell]
2 Dy 0.0899 0.1989 0.5418 [8 per cell]
3 Dy 0.1998 0.3735 0.8847 [8 per cell]
4 Y 0.0000 0.4151 0.2500 [4 per cell]

Computed properties:
* excess energy over the best structure of this formula in the dataset: 126 meV/atom
* DOS at the Fermi energy: 39.06 states/eV/cell
* E_form: 0.1453 eV per atom
* E: -4.787 eV/atom

Entry from Alexandria: crystalline Sm6DyY12 at its relaxed geometry (PBE-GGA).

Unit cell a=11.1558 b=11.1558 c=17.5403 alpha=90.00 beta=90.00 gamma=120.00
Space group R-3m (No. 166, hexagonal axes)
Unique sites:
1 Sm 0.0720 0.5360 0.2657 [18 per cell]
2 Dy 0.0000 0.0000 0.5000 [3 per cell]
3 Y 0.1001 0.5501 0.9140 [18 per cell]
4 Y 0.1066 0.2132 0.9092 [18 per cell]

Computed properties:
* excess energy over the best structure of this formula in the dataset: 0 meV/atom
* DOS at the Fermi energy: 93.81 states/eV/cell
* E_form: 0.1160 eV per atom
* E: -5.699 eV/atom

Entry from Alexandria: crystalline Sm4Dy9Y11 at its relaxed geometry (PBE-GGA).

Unit cell a=16.7240 b=25.1717 c=3.7051 alpha=90.00 beta=90.00 gamma=90.00
Space group Cmmm (No. 65)
Unique sites:
1 Sm 0.1544 0.1006 0.0000 [8 per cell]
2 Dy 0.0000 0.0000 0.0000 [2 per cell]
3 Dy 0.1016 0.2350 0.0000 [8 per cell]
4 Dy 0.1403 0.4274 0.0000 [8 per cell]
5 Y 0.0000 0.1344 0.5000 [4 per cell]
6 Y 0.0000 0.3407 0.5000 [4 per cell]
7 Y 0.0000 0.5000 0.5000 [2 per cell]
8 Y 0.2103 0.0000 0.5000 [4 per cell]
9 Y 0.2259 0.3190 0.5000 [8 per cell]

Computed properties:
* DOS at the Fermi energy: 61.57 states/eV/cell
* E_form: 0.0526 eV per atom
* E: -5.422 eV/atom